Entry 1:
{
  "formula": "FeCu2Os",
  "functional": "PBE",
  "state": "relaxed",
  "lattice": [[4.446, 0.009, 0.000], [1.287, 4.255, 0.000], [-2.867, -2.132, 2.646]],
  "species": ["Fe", "Cu", "Cu", "Os"],
  "frac_coords": [[0.500, 0.500, 0.000], [0.000, 0.000, 0.000], [0.250, 0.750, 0.500], [0.750, 0.250, 0.500]],
  "volume_a3_per_atom": 12.5,
  "formation_energy_kj_per_mol_atoms": 29.90,
  "final_energy_ev_per_atom": -6.661
}


Entry 2:
{
  "formula": "FeCu2Os",
  "functional": "PBE",
  "state": "relaxed",
  "lattice": [[2.638, 0.000, 0.000], [0.000, 4.349, 0.000], [0.000, 0.000, 4.449]],
  "species": ["Fe", "Cu", "Cu", "Os"],
  "frac_coords": [[0.500, 0.000, 0.500], [0.500, 0.500, 0.000], [0.000, 0.000, 0.000], [0.000, 0.500, 0.500]],
  "volume_a3_per_atom": 12.8,
  "formation_energy_kj_per_mol_atoms": 29.37,
  "final_energy_ev_per_atom": -6.667
}


Entry 3:
{
  "formula": "FeCu2Os",
  "functional": "PBE",
  "state": "relaxed",
  "lattice": [[5.115, 0.009, 0.002], [2.569, 4.423, -0.002], [-3.249, -3.244, 2.255]],
  "species": ["Cu", "Fe", "Os", "Cu"],
  "frac_coords": [[0.006, 0.006, 0.000], [0.250, 0.750, 0.500], [0.750, 0.250, 0.500], [0.494, 0.494, 0.000]],
  "volume_a3_per_atom": 12.7,
  "formation_energy_kj_per_mol_atoms": 28.99,
  "final_energy_ev_per_atom": -6.671
}


Entry 4:
{
  "formula": "FeCu2Os",
  "functional": "PBE",
  "state": "relaxed",
  "lattice": [[-0.384, 2.994, 1.608], [-3.395, -0.261, -0.326], [-2.320, -2.957, 8.590]],
  "species": ["Cu", "Os", "Os", "Cu", "Fe", "Fe", "Cu", "Cu"],
  "frac_coords": [[0.623, 0.125, 0.250], [0.000, 0.000, 0.000], [0.750, 0.250, 0.500], [0.875, 0.873, 0.750], [0.250, 0.750, 0.500], [0.500, 0.500, 0.000], [0.127, 0.625, 0.250], [0.375, 0.377, 0.750]],
  "volume_a3_per_atom": 13.2,
  "formation_energy_kj_per_mol_atoms": 74.00,
  "final_energy_ev_per_atom": -6.204
}


Entry 5:
{
  "formula": "FeCu2Os",
  "functional": "PBE",
  "state": "relaxed",
  "lattice": [[4.217, 0.000, 0.000], [0.000, 2.537, -0.045], [0.000, 0.559, 4.766]],
  "species": ["Cu", "Fe", "Cu", "Os"],
  "frac_coords": [[0.000, 0.126, 0.996], [0.000, 0.503, 0.491], [0.500, 0.152, 0.255], [0.500, 0.719, 0.758]],
  "volume_a3_per_atom": 12.8,
  "formation_energy_kj_per_mol_atoms": 27.49,
  "final_energy_ev_per_atom": -6.686
}


Entry 6:
{
  "formula": "Fe2CuOs",
  "functional": "PBE",
  "state": "relaxed",
  "lattice": [[-1.169, 3.008, 3.110], [-2.635, 0.883, 3.516], [2.727, -1.237, 3.373]],
  "species": ["Fe", "Cu", "Os", "Fe"],
  "frac_coords": [[0.749, 0.749, 0.742], [0.252, 0.252, 0.236], [0.496, 0.496, 0.516], [0.004, 0.004, 0.006]],
  "de_polymorph_mev_per_atom": 20,
  "volume_a3_per_atom": 12.4,
  "formation_energy_kj_per_mol_atoms": 18.81,
  "final_energy_ev_per_atom": -7.868
}


Entry 7:
{
  "formula": "FeCu2Os",
  "functional": "PBE",
  "state": "relaxed",
  "lattice": [[4.331, 0.000, 0.000], [0.000, 2.510, -0.018], [0.000, 0.629, 4.693]],
  "species": ["Cu", "Os", "Cu", "Fe"],
  "frac_coords": [[0.000, 0.052, 0.006], [0.500, 0.750, 0.750], [0.000, 0.448, 0.494], [0.500, 0.250, 0.250]],
  "volume_a3_per_atom": 12.8,
  "formation_energy_kj_per_mol_atoms": 29.36,
  "final_energy_ev_per_atom": -6.667
}


Entry 8:
{
  "formula": "Fe2CuOs",
  "functional": "PBE",
  "state": "relaxed",
  "lattice": [[-1.469, 0.328, -2.089], [2.267, -1.023, -0.664], [-3.140, -7.616, 1.013]],
  "species": ["Os", "Cu", "Fe", "Fe"],
  "frac_coords": [[0.500, 0.500, 0.250], [0.500, 0.500, 0.750], [0.000, 0.000, 0.995], [0.000, 0.000, 0.505]],
  "de_polymorph_mev_per_atom": 101,
  "volume_a3_per_atom": 12.9,
  "formation_energy_kj_per_mol_atoms": 26.65,
  "final_energy_ev_per_atom": -7.787
}


Entry 9:
{
  "formula": "FeCu2Os",
  "functional": "PBE",
  "state": "relaxed",
  "lattice": [[-3.046, -0.999, 3.098], [-3.112, -2.893, 1.348], [2.650, -2.610, 2.724]],
  "species": ["Cu", "Os", "Cu", "Fe"],
  "frac_coords": [[0.000, 0.000, 0.980], [0.248, 0.248, 0.274], [0.751, 0.751, 0.767], [0.501, 0.501, 0.479]],
  "volume_a3_per_atom": 12.5,
  "formation_energy_kj_per_mol_atoms": 24.61,
  "final_energy_ev_per_atom": -6.716
}


Entry 10:
{
  "formula": "Fe2CuOs",
  "functional": "PBE",
  "state": "relaxed",
  "lattice": [[-0.843, 3.689, -2.488], [-3.798, -1.417, 2.020], [0.530, 1.506, 2.053]],
  "species": ["Fe", "Fe", "Os", "Cu"],
  "frac_coords": [[0.000, 0.000, 0.000], [0.500, 0.500, 0.000], [0.500, 0.000, 0.500], [0.000, 0.500, 0.500]],
  "de_polymorph_mev_per_atom": 0,
  "volume_a3_per_atom": 12.5,
  "formation_energy_kj_per_mol_atoms": 16.90,
  "final_energy_ev_per_atom": -7.888
}


Entry 11:
{
  "formula": "FeCu2Os",
  "functional": "PBE",
  "state": "relaxed",
  "lattice": [[4.631, 0.000, 0.000], [1.803, 4.266, 0.000], [-3.217, -2.133, 2.559]],
  "species": ["Cu", "Cu", "Os", "Fe"],
  "frac_coords": [[0.500, 0.500, 0.000], [0.000, 0.000, 0.000], [0.750, 0.250, 0.500], [0.250, 0.750, 0.500]],
  "volume_a3_per_atom": 12.6,
  "formation_energy_kj_per_mol_atoms": 33.61,
  "final_energy_ev_per_atom": -6.623
}


Entry 12:
{
  "formula": "FeCu2Os",
  "functional": "PBE",
  "state": "relaxed",
  "lattice": [[2.566, -0.027, 0.000], [-1.101, 2.318, 0.000], [0.000, 0.000, 8.796]],
  "species": ["Cu", "Os", "Fe", "Cu"],
  "frac_coords": [[0.000, 0.000, 0.491], [0.500, 0.500, 0.750], [0.500, 0.500, 0.250], [0.000, 0.000, 0.009]],
  "volume_a3_per_atom": 13.0,
  "formation_energy_kj_per_mol_atoms": 33.48,
  "final_energy_ev_per_atom": -6.624
}


Entry 13:
{
  "formula": "FeCu2Os",
  "functional": "PBE",
  "state": "relaxed",
  "lattice": [[4.665, 0.001, 0.000], [-1.797, 4.306, 0.000], [0.000, 0.000, 2.542]],
  "species": ["Os", "Cu", "Cu", "Fe"],
  "frac_coords": [[0.000, 0.500, 0.500], [0.500, 0.500, 0.000], [0.000, 0.000, 0.000], [0.500, 0.000, 0.500]],
  "volume_a3_per_atom": 12.8,
  "formation_energy_kj_per_mol_atoms": 26.83,
  "final_energy_ev_per_atom": -6.693
}


Entry 14:
{
  "formula": "Fe2CuOs",
  "functional": "PBE",
  "state": "relaxed",
  "lattice": [[8.607, 0.019, 0.011], [8.201, 2.612, 0.011], [8.201, 1.284, 2.275]],
  "species": ["Fe", "Cu", "Os", "Fe"],
  "frac_coords": [[0.001, 0.001, 0.001], [0.750, 0.750, 0.750], [0.250, 0.250, 0.250], [0.499, 0.499, 0.499]],
  "de_polymorph_mev_per_atom": 17,
  "volume_a3_per_atom": 12.6,
  "formation_energy_kj_per_mol_atoms": 18.56,
  "final_energy_ev_per_atom": -7.870
}


Entry 15:
{
  "formula": "Fe2CuOs",
  "functional": "PBE",
  "state": "relaxed",
  "lattice": [[-4.320, -0.553, 1.074], [-3.516, -2.785, 0.041], [0.567, -1.726, 4.173]],
  "species": ["Os", "Fe", "Fe", "Cu"],
  "frac_coords": [[0.750, 0.750, 0.750], [0.499, 0.499, 0.498], [0.001, 0.001, 0.002], [0.250, 0.250, 0.250]],
  "de_polymorph_mev_per_atom": 76,
  "volume_a3_per_atom": 12.5,
  "formation_energy_kj_per_mol_atoms": 24.23,
  "final_energy_ev_per_atom": -7.812
}


Entry 16:
{
  "formula": "Fe2CuOs",
  "functional": "PBE",
  "state": "relaxed",
  "lattice": [[-6.270, 4.674, 3.467], [-7.033, 4.780, 0.933], [-7.734, 2.720, 2.442]],
  "species": ["Os", "Fe", "Cu", "Fe"],
  "frac_coords": [[0.503, 0.503, 0.503], [0.999, 0.999, 0.999], [0.747, 0.747, 0.747], [0.251, 0.251, 0.251]],
  "de_polymorph_mev_per_atom": 20,
  "volume_a3_per_atom": 12.8,
  "formation_energy_kj_per_mol_atoms": 18.85,
  "final_energy_ev_per_atom": -7.867
}


Entry 17:
{
  "formula": "Fe2CuOs",
  "functional": "PBE",
  "state": "relaxed",
  "lattice": [[-2.529, -2.683, -3.228], [-2.796, -3.616, 1.767], [0.900, 4.817, -0.034]],
  "species": ["Cu", "Fe", "Fe", "Os"],
  "frac_coords": [[0.241, 0.741, 0.500], [0.759, 0.259, 0.500], [0.990, 0.990, 0.000], [0.510, 0.510, 0.000]],
  "de_polymorph_mev_per_atom": 75,
  "volume_a3_per_atom": 12.5,
  "formation_energy_kj_per_mol_atoms": 24.12,
  "final_energy_ev_per_atom": -7.813
}


Entry 18:
{
  "formula": "Fe2CuOs",
  "functional": "PBE",
  "state": "relaxed",
  "lattice": [[4.805, -0.015, -0.021], [2.140, 4.302, 0.021], [-3.046, -2.834, 2.403]],
  "species": ["Fe", "Fe", "Cu", "Os"],
  "frac_coords": [[0.501, 0.501, 0.000], [0.999, 0.999, 0.000], [0.250, 0.750, 0.500], [0.750, 0.250, 0.500]],
  "de_polymorph_mev_per_atom": 124,
  "volume_a3_per_atom": 12.5,
  "formation_energy_kj_per_mol_atoms": 28.87,
  "final_energy_ev_per_atom": -7.764
}


Entry 19:
{
  "formula": "Fe2CuOs",
  "functional": "PBE",
  "state": "relaxed",
  "lattice": [[4.449, -0.014, 0.000], [1.427, 4.214, 0.000], [-2.938, -2.100, 2.599]],
  "species": ["Cu", "Fe", "Os", "Fe"],
  "frac_coords": [[0.750, 0.250, 0.500], [0.000, 0.000, 0.000], [0.500, 0.500, 0.000], [0.250, 0.750, 0.500]],
  "de_polymorph_mev_per_atom": 67,
  "volume_a3_per_atom": 12.2,
  "formation_energy_kj_per_mol_atoms": 23.41,
  "final_energy_ev_per_atom": -7.820
}


Entry 20:
{
  "formula": "Fe2CuOs",
  "functional": "PBE",
  "state": "relaxed",
  "lattice": [[4.179, 0.000, 0.000], [0.000, 2.526, 0.003], [0.000, 0.713, 4.794]],
  "species": ["Os", "Cu", "Fe", "Fe"],
  "frac_coords": [[0.000, 0.486, 0.496], [0.500, 0.815, 0.757], [0.500, 0.211, 0.246], [0.000, 0.988, 0.001]],
  "de_polymorph_mev_per_atom": 66,
  "volume_a3_per_atom": 12.6,
  "formation_energy_kj_per_mol_atoms": 23.25,
  "final_energy_ev_per_atom": -7.822
}